[1]
NpAlBr6 | the Alexandria database | PBE-GGA | optimized geometry; electronic total energy = -35.7 eV per cell; space-group type = C2/m
1.0
7.272 -0.824 -0.185
-3.471 6.444 -0.185
-0.881 -1.302 6.576
Br Np Al
6 1 1
Direct
0.576 0.854 0.720
0.424 0.146 0.280
0.741 0.741 0.265
0.854 0.576 0.720
0.259 0.259 0.735
0.146 0.424 0.280
0.000 0.000 0.000
0.500 0.500 0.500

---

[2]
VRe2Hg2 | the Alexandria database | PBE-GGA | optimized geometry; energy of formation from the pure elements = 1.14 eV per atom; electronic total energy = -28.9 eV per cell; excess energy over the best structure of this formula in the dataset = 0.3179 eV/atom; space-group type = I4/mmm
1.0
3.673 0.000 0.000
0.000 3.673 0.000
1.837 1.837 7.262
Re Hg V
2 2 1
Direct
0.579 0.579 0.843
0.421 0.421 0.157
0.250 0.750 0.500
0.750 0.250 0.500
0.000 0.000 0.000

---

[3]
CeTl5Se4 | the Alexandria database | PBE-GGA | optimized geometry; electronic total energy = -39.2 eV per cell; space-group type = C2/m
1.0
4.371 0.000 0.000
0.000 8.701 -0.687
-2.185 -3.058 9.094
Tl Se Ce
5 4 1
Direct
0.850 0.207 0.700
0.196 0.315 0.392
0.500 0.500 0.000
0.804 0.685 0.608
0.150 0.793 0.300
0.661 0.048 0.322
0.969 0.752 0.939
0.339 0.952 0.678
0.031 0.248 0.061
0.500 0.000 0.000

---

[4]
CsScO3 | the Alexandria database | PBE-GGA | optimized geometry; electronic total energy = -21.0 eV per cell; space-group type = Pm-3m
1.0
4.468 0.000 0.000
0.000 4.468 0.000
0.000 0.000 4.468
O Cs Sc
3 1 1
Direct
0.500 0.000 0.000
0.000 0.500 0.000
0.000 0.000 0.500
0.000 0.000 0.000
0.500 0.500 0.500

---

[5]
Pr6RhSe3S2 | the Alexandria database | PBE-GGA | optimized geometry; electronic total energy = -75.1 eV per cell; space-group type = C2/m
1.0
-0.260 -4.109 -0.495
4.296 0.611 -7.331
6.751 0.870 6.602
Se Rh Pr S
3 1 6 2
Direct
0.832 0.169 0.664
0.168 0.831 0.336
0.500 0.500 0.000
0.500 0.000 0.000
0.664 0.092 0.328
0.003 0.235 0.006
0.997 0.765 0.994
0.330 0.427 0.660
0.670 0.573 0.340
0.336 0.908 0.672
0.168 0.333 0.335
0.832 0.667 0.665

---

[6]
PdRu3Pt | the Alexandria database | PBE-GGA | optimized geometry; energy of formation from the pure elements = 1.95 eV per atom; electronic total energy = -29.3 eV per cell; excess energy over the best structure of this formula in the dataset = 0.0000 eV/atom; space-group type = Pm-3m
1.0
4.754 0.000 0.000
0.000 4.754 0.000
0.000 0.000 4.754
Ru Pt Pd
3 1 1
Direct
0.000 0.500 0.000
0.500 0.000 0.000
0.000 0.000 0.500
0.000 0.000 0.000
0.500 0.500 0.500